Sm3Cd3GaAg2 | PBE | relaxed

```
data_Sm3Cd3GaAg2
_chemical_formula_sum 'Sm3 Cd3 Ga1 Ag2'
_cell_length_a 7.9444
_cell_length_b 7.9444
_cell_length_c 3.9739
_cell_angle_alpha 90.00
_cell_angle_beta 90.00
_cell_angle_gamma 120.00
_space_group_name_H-M_alt 'P -6 2 m'
_space_group_IT_number 189
_space_group_name_Hall 'P -6 -2'
loop_
_atom_site_label
_atom_site_fract_x
_atom_site_fract_y
_atom_site_fract_z
Sm1 0.0000 0.5992 0.0000
Cd1 0.0000 0.2601 0.5000
Ga1 0.0000 0.0000 0.0000
Ag1 0.3333 0.6667 0.5000
```

Properties
For the size of the total moment, the calculation gives 0.021 μB per cell. The electronic total energy comes out at -3.21 eV/atom.